Entry 1:
A plane-wave DFT calculation with PBE-GGA was carried out for an optimized crystal structure of Ba3In2Se6.

Cell and atoms, written as POSCAR:
```
Ba3In2Se6
1.0
5.2176 0.0000 0.0000
0.0000 5.2176 0.0000
-2.6088 -2.6088 13.4292
Ba In Se
3 2 6
Cartesian
0.0000 0.0000 0.0000
2.6088 2.6088 8.7840
0.0000 0.0000 4.6452
0.0000 0.0000 10.4651
2.6088 2.6088 2.9641
0.0000 2.6088 2.1705
2.6088 0.0000 2.1705
2.6088 0.0000 11.2587
0.0000 2.6088 11.2587
2.6088 2.6088 5.5171
0.0000 0.0000 7.9121
```

Summary:
Raw total energy = -4.22 eV per atom
Magnetization = 0.0 μB/f.u.
Uncorrected formation energy = -1.301 eV per atom

Entry 2:
A plane-wave DFT calculation with PBE-GGA was carried out for an optimized crystal structure of NdHfSi2.

Cell and atoms, written as POSCAR:
```
NdHfSi2
1.0
-0.4968 -0.3891 3.9464
0.0283 -3.6312 1.6692
6.3689 -0.8913 2.7375
Nd Si Hf
1 2 1
Cartesian
2.9503 -2.4558 4.1765
1.2515 -1.2433 2.0586
4.6490 -3.6683 6.2945
0.0000 0.0000 0.0000
```

Summary:
Raw total energy = -6.90 eV per atom
Magnetization = 0.0 μB/f.u.
Uncorrected formation energy = -0.511 eV per atom

Entry 3:
A plane-wave DFT calculation with PBE-GGA was carried out for an optimized crystal structure of ThGePd.

Cell and atoms, written as POSCAR:
```
ThGePd
1.0
-3.4820 1.3805 -1.4727
1.0631 -1.2420 -3.6778
-0.6256 -3.8879 3.3344
Ge Th Pd
1 1 1
Cartesian
-2.9119 -3.4735 -1.8710
-1.6499 -0.8473 -2.3930
-0.9767 -2.0324 0.4040
```

Summary:
Raw total energy = -6.20 eV per atom
Magnetization = 0.0 μB/f.u.
Formation energy = -1.36 eV/f.u.

Entry 4:
A plane-wave DFT calculation with PBE-GGA was carried out for an optimized crystal structure of ScTiMo2W.

Cell and atoms, written as POSCAR:
```
ScTiMo2W
1.0
-3.4885 -2.9276 -0.0579
2.8755 -3.4104 -0.8103
0.4797 -0.6602 4.4808
Sc Mo W Ti
1 2 1 1
Cartesian
1.4378 -1.7052 -0.4052
0.2398 -0.3301 2.2404
-1.7442 -1.4638 -0.0289
-0.0666 -3.4991 1.8063
0.0000 0.0000 0.0000
```

Summary:
Raw total energy = -8.25 eV per atom
Magnetization = 0.0 μB/f.u.
Formation energy = 7.62 eV/f.u.

Entry 5:
A plane-wave DFT calculation with PBE-GGA was carried out for an optimized crystal structure of CrIrRu3.

Cell and atoms, written as POSCAR:
```
CrIrRu3
1.0
-3.3841 2.5085 1.0572
-1.1719 -2.8649 3.0465
2.4570 2.0885 2.9092
Ru Ir Cr
3 1 1
Cartesian
-0.5860 -1.4325 1.5232
1.2285 1.0443 1.4546
-1.6920 1.2542 0.5286
-1.0495 0.8660 3.5065
0.0000 0.0000 0.0000
```

Summary:
Raw total energy = -7.84 eV per atom
Magnetization = 1.9 μB/f.u.
Formation energy = 7.13 eV/f.u.
Energy above the lowest structure with this stoichiometry = 1396 meV per atom

Entry 6:
A plane-wave DFT calculation with PBE-GGA was carried out for an optimized crystal structure of KCdTe.

Cell and atoms, written as POSCAR:
```
KCdTe
1.0
7.8226 0.0035 -0.0036
6.9693 3.5530 0.0472
0.8533 0.1557 3.5465
Cd K Te
1 1 1
Cartesian
0.9863 0.1882 3.5130
5.4473 1.2766 2.3919
10.0649 2.4032 1.2315
```

Summary:
Raw total energy = -1.97 eV per atom
Magnetization = 0.0 μB/f.u.
Uncorrected formation energy = -0.251 eV per atom
Energy above the lowest structure with this stoichiometry = 355 meV per atom

Entry 7:
A plane-wave DFT calculation with PBE-GGA was carried out for an optimized crystal structure of Pu2GeS.

Cell and atoms, written as POSCAR:
```
Pu2GeS
1.0
3.8136 0.0000 0.0000
1.9068 3.3026 0.0000
1.9068 1.1009 7.5890
Pu Ge S
2 1 1
Cartesian
1.9068 1.1009 5.6357
1.9068 1.1009 1.9523
5.7204 3.3026 7.5700
3.8136 2.2018 3.8145
```

Summary:
Raw total energy = -10.19 eV per atom
Magnetization = 0.1 μB/f.u.
Uncorrected formation energy = -0.838 eV per atom
Energy above the lowest structure with this stoichiometry = 208 meV per atom